! Sm3Ge4 | OQMD | PBE | relaxed; values from VASP
&SYSTEM
  ibrav = 0, nat = 14, ntyp = 2
/
ATOMIC_SPECIES
Sm 150.36 Sm.upf
Ge 72.64 Ge.upf
ATOMIC_POSITIONS crystal
Sm 0.0403 0.9597 0.7500
Sm 0.3294 0.6706 0.5968
Sm 0.3294 0.6706 0.9032
Sm 0.6706 0.3294 0.0968
Sm 0.6706 0.3294 0.4032
Sm 0.9597 0.0403 0.2500
Ge 0.0000 0.0000 0.0000
Ge 0.0000 0.0000 0.5000
Ge 0.2340 0.7660 0.2500
Ge 0.3818 0.6182 0.1088
Ge 0.3818 0.6182 0.3912
Ge 0.6182 0.3818 0.6088
Ge 0.6182 0.3818 0.8912
Ge 0.7660 0.2340 0.7500
CELL_PARAMETERS angstrom
2.0800 -5.4639 0.0000
2.0800 5.4639 0.0000
0.0000 0.0000 14.4981
! Spin magnetization: 0.0 μB/f.u.
! ρ: 7.47 g/cm³
! Calculated total energy: -5.457 eV per atom
! Symmetry: No. 63